[1]
Material: Sc2AlNi
Method: DFT, PBEsol
State: optimized geometry

The structure in extended XYZ format:
```
4
Lattice="3.3322 0.0000 0.0000 0.0000 4.5321 0.0000 0.0000 0.0000 4.5321" Properties=species:S:1:pos:R:3 pbc="T T T"
Sc 0.0000 0.0000 2.2661
Sc 0.0000 2.2661 0.0000
Ni 1.6661 0.0000 0.0000
Al 1.6661 2.2661 2.2661
```

Output
Formation energy (meV per atom): -426
Symmetry: P4/mmm, No. 123

***

[2]
Material: SrYOs2
Method: DFT, PBEsol
State: optimized geometry

The structure in extended XYZ format:
```
4
Lattice="-2.9345 0.6386 0.9000 -0.8545 -4.9408 0.7196 3.5254 2.5974 4.1911" Properties=species:S:1:pos:R:3 pbc="T T T"
Os -0.3515 -1.7289 5.5409
Os 0.5014 -2.2163 3.2072
Sr -1.8391 -2.1359 0.9797
Y -0.7324 0.5204 2.7034
```

Output
ΔE to the lowest computed polymorph (meV per atom): 0
Formation energy (meV per atom): 483
Symmetry: Imm2, No. 44

***

[3]
Material: Tl3Cl
Method: DFT, PBEsol
State: optimized geometry

The structure in extended XYZ format:
```
4
Lattice="-3.8495 1.8796 2.1742 1.6652 -1.5035 4.2480 2.3426 4.1575 0.5533" Properties=species:S:1:pos:R:3 pbc="T T T"
Tl 2.0039 1.3270 2.4006
Tl -0.7534 3.0186 1.3638
Tl -1.0922 0.1881 3.2111
Cl 0.0000 0.0000 0.0000
```

Output
ΔE to the lowest computed polymorph (meV per atom): 55
Energy relative to the elements, uncorrected (eV/atom): -0.291
Symmetry: Pm-3m, No. 221

***

[4]
Material: LiTc3Mo
Method: DFT, PBEsol
State: optimized geometry

The structure in extended XYZ format:
```
5
Lattice="-3.9695 0.1994 -2.3644 -0.8110 -4.4447 0.9867 -2.2299 1.2616 3.8501" Properties=species:S:1:pos:R:3 pbc="T T T"
Mo 0.0000 0.0000 0.0000
Tc -0.4055 -2.2224 0.4934
Tc -1.1149 0.6308 1.9250
Tc -1.9847 0.0997 -1.1822
Li -3.5052 -1.4918 1.2362
```

Output
Formation energy (meV per atom): 1691
Symmetry: Pm-3m, No. 221

***

no.,total magnetic moment (μB/cell)
1,0.00
2,0.00
3,0.00
4,2.56